Zr2ScCo: relaxed, PBE-GGA.

Properties
For the formation energy from the elements, the calculation gives -3.58 kcal/mol of atoms. For the energy, the calculation gives -124.6 eV per cell. The offset from the most stable computed form comes out at 0.041 eV per atom.

Lattice parameters (Å, degrees): 3.9765 10.9111 7.3816 90.00 90.00 90.00
With the nearest neighbours (Å) after each atom.
Space group Cmcm (No. 63)
Inequivalent atoms, fractional coordinates:
Zr: 0.0000 0.1436 0.0457  3 Co 2.61-2.65
Sc: 0.0000 0.4474 0.2500  3 Co 3.02-3.14, 8 Zr 3.12-3.29
Co: 0.0000 0.2754 0.7500  6 Zr 2.61-2.65

SiNiMoIr: relaxed, PBE-GGA.

Properties
For the uncorrected formation energy, the calculation gives -0.282 eV/atom. For the energy, the calculation gives -128.1 eV per cell.

Lattice parameters (Å, degrees): 5.9533 5.9533 5.9533 90.00 90.00 90.00
With the nearest neighbours (Å) after each atom.
Space group F-43m (No. 216)
Inequivalent atoms, fractional coordinates:
Si: 0.0000 0.0000 0.0000  4 Mo 2.58, 4 Ir 2.58
Ni: 0.0000 0.0000 0.5000  4 Ir 2.58, 4 Mo 2.58
Mo: 0.2500 0.2500 0.2500  4 Ni 2.58, 4 Si 2.58
Ir: 0.2500 0.2500 0.7500  4 Ni 2.58, 4 Si 2.58

Dy2ErCd: relaxed, PBE-GGA.

Properties
For the formation energy from the elements, the calculation gives -3.27 kcal/mol of atoms. For the energy, the calculation gives -15.2 eV per cell. The offset from the most stable computed form comes out at 0.000 eV per atom.

Lattice parameters (Å, degrees): 3.5676 3.5676 9.0326 90.00 90.00 90.00
With the nearest neighbours (Å) after each atom.
Space group P4/mmm (No. 123)
Inequivalent atoms, fractional coordinates:
Dy: 0.0000 0.0000 0.2298  4 Cd 3.27, 4 Er 3.51, 4 Dy 3.57
Er: 0.5000 0.5000 0.5000  8 Dy 3.51, 4 Er 3.57
Cd: 0.5000 0.5000 0.0000  8 Dy 3.27, 4 Cd 3.57

Rb4CdSe2: relaxed, PBE-GGA.

Properties
For the uncorrected formation energy, the calculation gives -0.439 eV/atom. For the energy, the calculation gives -29.6 eV per cell.

Lattice parameters (Å, degrees): 6.2336 6.2336 18.0460 90.00 90.00 90.00
With the nearest neighbours (Å) after each atom.
Space group I4/mmm (No. 139)
Inequivalent atoms, fractional coordinates:
Rb: 0.0000 0.0000 0.2045  1 Se 3.22
Rb: 0.0000 0.5000 0.0000  2 Cd 3.12
Cd: 0.0000 0.0000 0.0000  4 Rb 3.12
Se: 0.0000 0.0000 0.3831  1 Rb 3.22

LiLaMnN2: relaxed, PBE-GGA.

Properties
For the uncorrected formation energy, the calculation gives -0.612 eV/atom. For the energy, the calculation gives -142.9 eV per cell. The offset from the most stable computed form comes out at 0.000 eV per atom.

Lattice parameters (Å, degrees): 4.5996 11.0769 4.8816 90.00 90.00 90.00
With the nearest neighbours (Å) after each atom.
Space group Cmme (No. 67)
Inequivalent atoms, fractional coordinates:
Li: 0.0000 0.0000 0.0000  2 N 1.95
La: 0.0000 0.2500 0.2636  6 N 2.59-2.77
Mn: 0.2500 0.0000 0.5000  4 N 1.94
N: 0.0000 0.1125 0.6938  2 Mn 1.94, 1 Li 1.95

YTlTc: relaxed, PBE-GGA.

Properties
For the formation energy from the elements, the calculation gives 7.76 kcal/mol of atoms. For the energy, the calculation gives -18.2 eV per cell. The offset from the most stable computed form comes out at 0.182 eV per atom.

Lattice parameters (Å, degrees): 3.4717 3.4717 6.6802 90.00 90.00 120.00
With the nearest neighbours (Å) after each atom.
Space group P3m1 (No. 156)
Inequivalent atoms, fractional coordinates:
Y: 0.0000 0.0000 0.0000  3 Tc 2.82
Tl: 0.3333 0.6667 0.6002  3 Tc 2.85
Tc: 0.6667 0.3333 0.2972  3 Y 2.82, 3 Tl 2.85

Question: energy of number 2 (SiNiMoIr)?
Answer: -128.1 eV per cell